Computed, not measured: a relaxed AlOsCl crystal at the PBE-GGA level of DFT.

Calculated values
As for the formation energy without anion corrections: 79.22 kJ per mole of atoms. The calculated density comes out at 7.8 g/cm3. Its magnetization is 0.0 μB/cell. The offset from the most stable computed form comes out at 0.875 eV per atom.

Cell: 4.2405 4.2405 4.2405 Å, 60.00 60.00 60.00°
Atoms (fractional coordinates):
Al 0.0000 0.0000 0.0000
Os 0.2500 0.2500 0.2500
Cl 0.5000 0.5000 0.5000